[1]
Entry from the Alexandria database: crystalline LaPtC3 at its relaxed geometry (PBE).

Results
Size of the total moment ... 0.0 μB/cell
Fermi-level density of states ... 1.029 states/eV/atom
Offset from the most stable computed form ... 0 meV/atom
Calculated formation energy ... 1.42 eV/atom
Calculated volume ... 70 Å³ per cell

POSCAR file:
```
LaPtC3
1.0
4.113 0.000 0.000
0.000 4.113 0.000
0.000 0.000 4.113
La Pt C
1 1 3
direct
0.000 0.000 0.000 La
0.500 0.500 0.500 Pt
0.000 0.500 0.500 C
0.500 0.000 0.500 C
0.500 0.500 0.000 C
```

[2]
Entry from the Alexandria database: crystalline Tb2Cu3Si at its relaxed geometry (PBE).

Results
Size of the total moment ... 0.0 μB/cell
Fermi-level density of states ... 0.534 states/eV/atom
Calculated volume ... 225 Å³ per cell
E_form (uncorrected) ... -429 meV/atom

POSCAR file:
```
Tb2Cu3Si
1.0
0.000 4.220 7.313
3.647 0.000 7.313
3.647 4.220 0.000
Tb Cu Si
4 6 2
direct
0.240 0.760 0.760 Tb
0.250 0.250 0.250 Tb
0.750 0.750 0.750 Tb
0.760 0.240 0.240 Tb
0.170 0.170 0.830 Cu
0.171 0.660 0.340 Cu
0.340 0.829 0.171 Cu
0.660 0.171 0.829 Cu
0.829 0.340 0.660 Cu
0.830 0.830 0.170 Cu
0.335 0.335 0.665 Si
0.665 0.665 0.335 Si
```

[3]
Entry from the Alexandria database: crystalline Pr7SmTm4 at its relaxed geometry (PBE).

Results
Size of the total moment ... 0.0 μB/cell
Fermi-level density of states ... 1.294 states/eV/atom
Offset from the most stable computed form ... 0 meV/atom
Calculated formation energy ... 0.01 eV/atom
Calculated volume ... 408 Å³ per cell

POSCAR file:
```
Pr7SmTm4
1.0
6.351 0.000 0.000
0.006 7.320 0.000
2.108 0.002 8.767
Pr Sm Tm
7 1 4
direct
0.000 0.000 0.000 Pr
0.222 0.500 0.335 Pr
0.282 0.752 0.664 Pr
0.499 0.246 0.996 Pr
0.501 0.754 0.004 Pr
0.718 0.248 0.336 Pr
0.778 0.500 0.665 Pr
0.000 0.500 0.000 Sm
0.218 0.000 0.337 Tm
0.277 0.244 0.666 Tm
0.723 0.756 0.334 Tm
0.782 0.000 0.663 Tm
```

[4]
Entry from the Alexandria database: crystalline Ca2CuCl at its relaxed geometry (PBE).

Results
Size of the total moment ... 0.0 μB/cell
Fermi-level density of states ... 0.538 states/eV/atom
Offset from the most stable computed form ... 0 meV/atom
Calculated volume ... 105 Å³ per cell
E_form (uncorrected) ... -834 meV/atom

POSCAR file:
```
Ca2CuCl
1.0
1.995 1.152 7.603
-1.995 1.152 7.603
0.000 -2.304 7.603
Ca Cu Cl
2 1 1
direct
0.242 0.242 0.242 Ca
0.758 0.758 0.758 Ca
0.500 0.500 0.500 Cu
0.000 0.000 0.000 Cl
```

[5]
Entry from the Alexandria database: crystalline OsRh3Cl at its relaxed geometry (PBE).

Results
Size of the total moment ... 0.0 μB/cell
Fermi-level density of states ... 1.501 states/eV/atom
Offset from the most stable computed form ... 5 meV/atom
Calculated volume ... 107 Å³ per cell
E_form (uncorrected) ... 1359 meV/atom

POSCAR file:
```
OsRh3Cl
1.0
4.744 0.000 0.000
0.000 4.744 0.000
0.000 0.000 4.744
Os Rh Cl
1 3 1
direct
0.000 0.000 0.000 Os
0.000 0.000 0.500 Rh
0.000 0.500 0.000 Rh
0.500 0.000 0.000 Rh
0.500 0.500 0.500 Cl
```

[6]
Entry from the Alexandria database: crystalline Ba3Ga2Pt at its relaxed geometry (PBE).

Results
Size of the total moment ... 0.0 μB/cell
Fermi-level density of states ... 0.650 states/eV/atom
Calculated formation energy ... -0.53 eV/atom
Calculated volume ... 409 Å³ per cell

POSCAR file:
```
Ba3Ga2Pt
1.0
5.338 -5.667 0.000
5.338 5.667 0.000
-1.752 0.000 6.760
Ba Ga Pt
6 4 2
direct
0.091 0.909 0.750 Ba
0.230 0.447 0.936 Ba
0.447 0.230 0.436 Ba
0.553 0.770 0.564 Ba
0.770 0.553 0.064 Ba
0.909 0.091 0.250 Ba
0.127 0.542 0.417 Ga
0.458 0.873 0.083 Ga
0.542 0.127 0.917 Ga
0.873 0.458 0.583 Ga
0.202 0.798 0.250 Pt
0.798 0.202 0.750 Pt
```

[7]
Entry from the Alexandria database: crystalline Tb2ErH at its relaxed geometry (PBE).

Results
Size of the total moment ... 0.0 μB/cell
Fermi-level density of states ... 0.679 states/eV/atom
Offset from the most stable computed form ... 0 meV/atom
Calculated volume ... 95 Å³ per cell

POSCAR file:
```
Tb2ErH
1.0
1.799 1.039 8.456
-1.799 1.039 8.456
0.000 -2.077 8.456
Tb Er H
2 1 1
direct
0.221 0.221 0.221 Tb
0.779 0.779 0.779 Tb
0.000 0.000 0.000 Er
0.500 0.500 0.500 H
```

[8]
Entry from the Alexandria database: crystalline Mn2HgPdC at its relaxed geometry (PBE).

Results
Size of the total moment ... 7.4 μB/cell
Fermi-level density of states ... 0.599 states/eV/atom
Calculated formation energy ... 1.84 eV/atom
Calculated volume ... 124 Å³ per cell

POSCAR file:
```
Mn2HgPdC
1.0
4.915 0.000 0.000
0.000 4.915 0.000
0.000 0.000 5.116
Mn Hg Pd C
2 1 1 1
direct
0.000 0.500 0.000 Mn
0.500 0.000 0.000 Mn
0.000 0.000 0.500 Hg
0.000 0.000 0.000 Pd
0.500 0.500 0.500 C
```

- The highest Fermi-level density of states belongs to which entry?
  OsRh3Cl